1.
SrAg6O4 | PBE-GGA | optimized geometry

```
data_SrAg6O4
_cell_length_a 6.531
_cell_length_b 12.462
_cell_length_c 8.959
_cell_angle_alpha 90.00
_cell_angle_beta 90.00
_cell_angle_gamma 90.00
_symmetry_space_group_name_H-M 'P 1'
_symmetry_Int_Tables_number 1
_symmetry_space_group_name_Hall 'P 1'
loop_
_atom_site_label
_atom_site_type_symbol
_atom_site_fract_x
_atom_site_fract_y
_atom_site_fract_z
Ag1 Ag 0.000 0.500 0.500
Ag2 Ag 0.708 0.377 0.240
Ag3 Ag 0.500 0.500 0.500
Ag4 Ag 0.208 0.123 0.740
Ag5 Ag 0.792 0.877 0.260
Ag6 Ag 0.921 0.239 0.962
Ag7 Ag 0.094 0.250 0.250
Ag8 Ag 0.708 0.123 0.260
Ag9 Ag 0.292 0.877 0.740
Ag10 Ag 0.208 0.377 0.760
Ag11 Ag 0.500 0.000 0.000
Ag12 Ag 0.792 0.623 0.240
Ag13 Ag 0.000 0.000 0.000
Ag14 Ag 0.594 0.250 0.750
Ag15 Ag 0.579 0.739 0.538
Ag16 Ag 0.079 0.761 0.038
Ag17 Ag 0.579 0.761 0.962
Ag18 Ag 0.079 0.739 0.462
Ag19 Ag 0.921 0.261 0.538
Ag20 Ag 0.421 0.261 0.462
Ag21 Ag 0.292 0.623 0.760
Ag22 Ag 0.906 0.750 0.750
Ag23 Ag 0.421 0.239 0.038
Ag24 Ag 0.406 0.750 0.250
O1 O 0.452 0.117 0.583
O2 O 0.902 0.397 0.674
O3 O 0.452 0.383 0.917
O4 O 0.598 0.603 0.674
O5 O 0.048 0.883 0.583
O6 O 0.548 0.883 0.417
O7 O 0.048 0.617 0.917
O8 O 0.952 0.117 0.417
O9 O 0.402 0.397 0.326
O10 O 0.402 0.103 0.174
O11 O 0.548 0.617 0.083
O12 O 0.098 0.897 0.174
O13 O 0.098 0.603 0.326
O14 O 0.598 0.897 0.826
O15 O 0.902 0.103 0.826
O16 O 0.952 0.383 0.083
Sr1 Sr 0.750 0.000 0.616
Sr2 Sr 0.750 0.500 0.884
Sr3 Sr 0.250 0.500 0.116
Sr4 Sr 0.250 0.000 0.384
```

The value obtained for the total energy is -0.1507 hartree per atom. The calculated volume is 16.57 Å³/atom.

2.
Sc2AlInPt4 | PBE-GGA | optimized geometry

```
data_Sc2AlInPt4
_cell_length_a 4.365
_cell_length_b 4.365
_cell_length_c 8.787
_cell_angle_alpha 90.00
_cell_angle_beta 90.00
_cell_angle_gamma 120.00
_symmetry_space_group_name_H-M 'P 1'
_symmetry_Int_Tables_number 1
_symmetry_space_group_name_Hall 'P 1'
loop_
_atom_site_label
_atom_site_type_symbol
_atom_site_fract_x
_atom_site_fract_y
_atom_site_fract_z
Pt1 Pt 0.333 0.667 0.103
Pt2 Pt 0.667 0.333 0.897
Pt3 Pt 0.333 0.667 0.416
Pt4 Pt 0.667 0.333 0.584
Sc1 Sc 0.667 0.333 0.255
Sc2 Sc 0.333 0.667 0.745
Al1 Al 0.000 0.000 0.500
In1 In 0.000 0.000 0.000
```

The value obtained for the total energy is -0.2362 hartree per atom. The calculated volume is 18.12 Å³/atom.

3.
NdYTlCo2 | PBE-GGA | optimized geometry

```
data_NdYTlCo2
_cell_length_a 3.968
_cell_length_b 7.306
_cell_length_c 7.306
_cell_angle_alpha 30.59
_cell_angle_beta 90.00
_cell_angle_gamma 90.00
_symmetry_space_group_name_H-M 'P 1'
_symmetry_Int_Tables_number 1
_symmetry_space_group_name_Hall 'P 1'
loop_
_atom_site_label
_atom_site_type_symbol
_atom_site_fract_x
_atom_site_fract_y
_atom_site_fract_z
Y1 Y 0.000 0.639 0.639
Tl1 Tl 0.500 0.004 0.004
Co1 Co 0.500 0.207 0.207
Co2 Co 0.500 0.790 0.790
Nd1 Nd 0.000 0.361 0.361
```

The value obtained for the total energy is -0.2133 hartree per atom. The calculated volume is 21.56 Å³/atom.

Q: Look up the calculated volume of the second one.
A: 18.12 Å³/atom